DFT (PBE-GGA) results for a geometry-optimized HoMnSn2Se5 structure.

```
HoMnSn2Se5
1.0
2.0485 -9.3059 0.0000
2.0485 9.3059 0.0000
0.0000 0.0000 13.2011
Ho Mn Sn Se
2 2 4 10
Cartesian
2.0485 5.6853 6.6005 Ho
2.0485 -5.6853 0.0000 Ho
2.0485 1.2211 11.6577 Mn
2.0485 -1.2211 5.0572 Mn
2.0485 7.6223 10.8923 Sn
2.0485 6.3224 1.9467 Sn
2.0485 -6.3224 8.5472 Sn
2.0485 -7.6223 4.2917 Sn
2.0485 8.7018 6.2776 Se
2.0485 3.5835 11.1835 Se
2.0485 3.5651 1.9572 Se
2.0485 2.8931 6.5847 Se
2.0485 0.1676 3.0940 Se
2.0485 -0.1676 9.6946 Se
2.0485 -2.8931 13.1853 Se
2.0485 -3.5651 8.5578 Se
2.0485 -3.5835 4.5829 Se
2.0485 -8.7018 12.8781 Se
```

## Properties
spin magnetization	4.0	μB/f.u.
crystal system	orthorhombic
uncorrected formation energy	-0.77	eV per atom